Entry P
Entry from Alexandria: B2PbS4 after structural relaxation (PBE).

Output
Volume: 30.449 A^3/atom
Total magnetization: 0.00 Bohr magnetons per cell

abc: 6.7181 7.7728 8.8257
angles: 89.82 67.67 89.43
With the nearest neighbours (Å) after each atom.
Space group P-1 (No. 2)
Symmetry-distinct sites (fractional):
B1 0.0000 0.0000 0.0000 x1  2 S 1.68
B2 0.0000 0.0000 0.5000 x1  2 S 1.68
B3 0.0000 0.5000 0.0000 x1  2 S 1.68
B4 0.5000 0.5000 0.5000 x1  2 S 1.68
Pb1 0.4154 0.7502 0.1692 x2  6 S 2.88-3.16
S1 0.1771 0.4417 0.0840 x2  1 B 1.68
S2 0.2609 0.9416 0.9160 x2  1 B 1.68
S3 0.2692 0.0108 0.4190 x2  1 B 1.68
S4 0.3107 0.4907 0.4200 x2  1 B 1.68

***

Entry Q
Entry from Alexandria: B2PbS4 after structural relaxation (PBE).

Output
Volume: 19.794 A^3/atom
Total magnetization: 0.00 Bohr magnetons per cell

abc: 5.1860 10.3331 10.3429
angles: 90.00 90.00 90.00
With the nearest neighbours (Å) after each atom.
Space group Cccm (No. 66)
Symmetry-distinct sites (fractional):
B1 0.9996 0.2461 0.0000 x8  4 S 1.93-1.94
Pb1 0.0000 0.5000 0.2500 x4  8 S 3.10-3.11
S1 0.2438 0.3888 0.0000 x8  2 B 1.93-1.94
S2 0.2500 0.2500 0.3609 x8  2 B 1.94

***

Most stable one: entry Q, least stable one: entry P.

***

Entry P
Entry from Alexandria: B2SbPb after structural relaxation (PBE).

Output
Volume: 17.756 A^3/atom
Total magnetization: 0.00 Bohr magnetons per cell

abc: 6.5739 6.5739 6.5739
angles: 90.00 90.00 90.00
With the nearest neighbours (Å) after each atom.
Space group Fm-3m (No. 225)
Symmetry-distinct sites (fractional):
B1 0.2500 0.2500 0.2500 x8  4 Sb 2.85, 4 Pb 2.85
Sb1 0.0000 0.0000 0.0000 x4  8 B 2.85
Pb1 0.0000 0.0000 0.5000 x4  8 B 2.85

***

Entry Q
Entry from Alexandria: B2SbPb after structural relaxation (PBE).

Output
Volume: 19.556 A^3/atom
Total magnetization: 0.00 Bohr magnetons per cell

abc: 5.4180 5.4180 10.6593
angles: 90.00 90.00 90.00
With the nearest neighbours (Å) after each atom.
Space group I-42d (No. 122)
Symmetry-distinct sites (fractional):
B1 0.2325 0.2500 0.1250 x8  2 Sb 2.28, 2 Pb 2.39
Sb1 0.0000 0.0000 0.0000 x4  4 B 2.28
Pb1 0.0000 0.0000 0.5000 x4  4 B 2.39

***

Most stable one: entry Q, least stable one: entry P.

***

Entry P
Entry from Alexandria: Sc2B2Pb after structural relaxation (PBE).

Output
Volume: 18.560 A^3/atom
Total magnetization: 0.00 Bohr magnetons per cell

abc: 4.0481 4.0481 11.3257
angles: 90.00 90.00 90.00
With the nearest neighbours (Å) after each atom.
Space group I4/mmm (No. 139)
Symmetry-distinct sites (fractional):
Sc1 0.0000 0.0000 0.1532 x4  4 B 2.30
B1 0.0000 0.5000 0.2500 x4  4 Sc 2.30
Pb1 0.0000 0.0000 0.5000 x2  8 Sc 3.35, 8 B 3.48

***

Entry Q
Entry from Alexandria: Sc2B2Pb after structural relaxation (PBE).

Output
Volume: 16.803 A^3/atom
Total magnetization: 0.00 Bohr magnetons per cell

abc: 7.4267 7.4267 3.0464
angles: 90.00 90.00 90.00
With the nearest neighbours (Å) after each atom.
Space group P4/mbm (No. 127)
Symmetry-distinct sites (fractional):
Sc1 0.1347 0.3653 0.0000 x4  6 B 2.50-2.78
B1 0.1760 0.6760 0.5000 x4  6 Sc 2.50-2.78
Pb1 0.0000 0.0000 0.0000 x2  4 Sc 2.89, 2 Pb 3.05, 8 B 3.13

***

Most stable one: entry P, least stable one: entry Q.

***

Entry P
Entry from Alexandria: Sc3BPb after structural relaxation (PBE).

Output
Volume: 30.496 A^3/atom
Total magnetization: 0.00 Bohr magnetons per cell

abc: 5.3424 5.3424 5.3424
angles: 90.00 90.00 90.00
With the nearest neighbours (Å) after each atom.
Space group Pm-3m (No. 221)
Symmetry-distinct sites (fractional):
Sc1 0.0000 0.0000 0.5000 x3  2 Pb 2.67
B1 0.5000 0.5000 0.5000 x1  12 Sc 3.78
Pb1 0.0000 0.0000 0.0000 x1  6 Sc 2.67

***

Entry Q
Entry from Alexandria: Sc3BPb after structural relaxation (PBE).

Output
Volume: 20.572 A^3/atom
Total magnetization: 0.00 Bohr magnetons per cell

abc: 4.6855 4.6855 4.6855
angles: 90.00 90.00 90.00
With the nearest neighbours (Å) after each atom.
Space group Pm-3m (No. 221)
Symmetry-distinct sites (fractional):
Sc1 0.0000 0.0000 0.5000 x3  2 B 2.34
B1 0.0000 0.0000 0.0000 x1  6 Sc 2.34
Pb1 0.5000 0.5000 0.5000 x1  12 Sc 3.31

***

Most stable one: entry Q, least stable one: entry P.

***

Entry P
Entry from Alexandria: ScBPb2 after structural relaxation (PBE).

Output
Volume: 23.220 A^3/atom
Total magnetization: 0.00 Bohr magnetons per cell

abc: 7.1888 7.1888 7.1888
angles: 90.00 90.00 90.00
With the nearest neighbours (Å) after each atom.
Space group Fm-3m (No. 225)
Symmetry-distinct sites (fractional):
Sc1 0.0000 0.0000 0.0000 x4  8 Pb 3.11
B1 0.0000 0.0000 0.5000 x4  8 Pb 3.11
Pb1 0.2500 0.2500 0.2500 x8  4 Sc 3.11, 4 B 3.11

***

Entry Q
Entry from Alexandria: ScBPb2 after structural relaxation (PBE).

Output
Volume: 21.959 A^3/atom
Total magnetization: 0.00 Bohr magnetons per cell

abc: 7.5063 7.5063 6.2355
angles: 90.00 90.00 90.00
With the nearest neighbours (Å) after each atom.
Space group I-42d (No. 122)
Symmetry-distinct sites (fractional):
Sc1 0.0000 0.0000 0.0000 x4  2 B 3.12, 8 Pb 3.12-3.30
B1 0.0000 0.0000 0.5000 x4  4 Pb 2.46
Pb1 0.1841 0.2500 0.6250 x8  2 B 2.46

***

Most stable one: entry Q, least stable one: entry P.

***

Entry P
Entry from Alexandria: B2PbSe2 after structural relaxation (PBE).

Output
Volume: 16.960 A^3/atom
Total magnetization: 0.00 Bohr magnetons per cell

abc: 4.7231 4.7231 7.6030
angles: 90.00 90.00 90.00
With the nearest neighbours (Å) after each atom.
Space group I4/mmm (No. 139)
Symmetry-distinct sites (fractional):
B1 0.0000 0.0000 0.1161 x4  1 B 1.77
Pb1 0.0000 0.0000 0.5000 x2  2 B 2.92, 8 Se 3.03
Se1 0.0000 0.5000 0.2500 x4  4 B 2.57

***

Entry Q
Entry from Alexandria: B2PbSe2 after structural relaxation (PBE).

Output
Volume: 18.380 A^3/atom
Total magnetization: 0.00 Bohr magnetons per cell

abc: 7.1144 7.1144 3.6313
angles: 90.00 90.00 90.00
With the nearest neighbours (Å) after each atom.
Space group P4/mbm (No. 127)
Symmetry-distinct sites (fractional):
B1 0.0798 0.4202 0.0000 x4  1 B 1.61
Pb1 0.0000 0.0000 0.0000 x2  4 B 3.04, 8 Se 3.20
Se1 0.1720 0.6720 0.5000 x4  4 B 2.63

***

Most stable one: entry P, least stable one: entry Q.